The following is a PBE with a Hubbard U calculation of a relaxed LiFePO4 crystal, from Alexandria.

Computed properties:
Magnetization: 4.00 μB/f.u.
Uncorrected energy: -6.7957 eV per atom
Polymorph energy (0 for the lowest one): 0.037 eV per atom
Calculated volume: 11.2 Å³ per atom
D(E_F): 0.0 states/eV/cell

Cell and atoms, written as extended XYZ:
```
42
Lattice="7.515 0.000 0.000 -3.757 6.508 0.000 0.000 0.000 9.591" Properties=species:S:1:pos:R:3 pbc="T T T"
Li -2.036 6.180 2.495
Li 6.370 1.326 7.290
Li 3.181 4.853 7.290
Li 2.613 5.181 2.495
Li 1.721 0.328 7.290
Li -0.576 1.655 2.495
Fe 5.135 3.483 9.405
Fe 4.206 0.319 9.405
Fe 1.930 2.706 9.405
Fe 1.378 3.025 4.610
Fe 0.449 6.189 4.610
Fe -1.827 3.802 4.610
P 0.000 4.339 1.772
P 0.000 0.000 4.888
P 0.000 4.339 7.451
P 0.000 0.000 0.092
P 3.757 2.169 2.656
P 3.757 2.169 6.567
O 1.018 5.394 1.284
O 3.757 2.169 1.064
O 3.827 5.047 9.135
O 4.163 3.579 6.080
O 4.775 1.113 6.080
O 5.196 2.450 3.140
O -2.527 5.718 4.340
O -1.423 4.692 1.284
O -0.963 3.233 7.936
O -0.476 5.725 7.936
O 0.000 4.339 3.361
O 3.757 2.169 8.156
O 0.000 4.339 5.859
O 0.069 1.461 4.340
O 0.405 2.929 1.284
O 0.000 0.000 6.432
O 1.230 0.790 9.135
O 1.439 4.058 7.936
O 2.334 1.816 6.080
O 2.458 5.838 4.340
O 2.795 3.275 3.140
O 3.281 0.783 3.140
O 0.000 0.000 1.637
O 6.215 0.670 9.135
```